Computed, not measured: an optimized crystal structure of Ca2CdWN4 at the PBE-GGA level of DFT.

Structure (POSCAR):
```
Ca2CdWN4
1.0
7.324 0.000 0.000
0.000 6.401 0.000
0.000 0.000 5.705
Ca Cd W N
4 2 2 8
Cartesian
1.815 1.159 0.000 Ca
1.847 5.242 2.852 Ca
5.477 5.242 2.852 Ca
5.509 1.159 0.000 Ca
0.000 2.140 2.885 Cd
3.662 4.262 0.033 Cd
0.000 4.287 0.084 W
3.662 2.114 2.936 W
0.000 2.520 5.147 N
0.000 4.215 1.951 N
1.577 5.228 5.263 N
2.085 1.173 2.410 N
3.662 2.186 4.803 N
3.662 3.882 2.294 N
5.239 1.173 2.410 N
5.747 5.228 5.263 N
```

**DFT total energy**: -0.5231 Ry/atom
**Formation energy without anion corrections**: -5.76 eV/f.u.
**SG**: No. 31
**M_tot**: 0.0 μB/cell